Sr2Al3Si | PBE | relaxed

Cell lengths 4.775, 4.401, 7.590 Å; angles 90.00, 90.00, 90.00 degrees
Sites, in units of the cell vectors:
Sr (0.000, 0.500, 0.006)
Sr (0.000, 0.000, 0.496)
Si (0.500, 0.500, 0.335)
Al (0.500, 0.000, 0.831)
Al (0.500, 0.000, 0.170)
Al (0.500, 0.500, 0.662)

Calculated values
The calculation puts the total magnetization at 0.00 μB per cell. The symmetry is Pmm2, No. 25. The formation energy from raw total energies comes out at -0.3155 eV per atom. Its electronic total energy is -3.65 eV/atom.

=====

SrAlSi3 | PBE | relaxed

Cell lengths 5.538, 5.538, 5.538 Å; angles 90.00, 90.00, 90.00 degrees
Sites, in units of the cell vectors:
Si (0.000, 0.500, 0.000)
Si (0.500, 0.000, 0.000)
Si (0.000, 0.000, 0.500)
Al (0.500, 0.500, 0.500)
Sr (0.000, 0.000, 0.000)

Calculated values
The calculation puts the total magnetization at 0.00 μB per cell. The symmetry is Pm-3m, No. 221. The formation energy from raw total energies comes out at 1.7263 eV per atom. Its electronic total energy is -2.61 eV/atom.

=====

Sr2AlSi4 | PBE | relaxed

Cell lengths 4.885, 4.885, 8.462 Å; angles 73.22, 73.22, 90.00 degrees
Sites, in units of the cell vectors:
Sr (0.642, 0.642, 0.715)
Sr (0.358, 0.358, 0.285)
Si (0.154, 0.154, 0.692)
Si (0.846, 0.846, 0.308)
Si (0.000, 0.500, 0.000)
Si (0.500, 0.000, 0.000)
Al (0.000, 0.000, 0.000)

Calculated values
The calculation puts the total magnetization at 0.00 μB per cell. The symmetry is I4/mmm, No. 139. The formation energy from raw total energies comes out at 0.2325 eV per atom. Its electronic total energy is -3.88 eV/atom.

=====

SrAl2Si | PBE | relaxed

Cell lengths 4.356, 4.356, 4.560 Å; angles 90.00, 90.00, 90.00 degrees
Sites, in units of the cell vectors:
Al (0.500, 0.500, 0.000)
Al (0.000, 0.000, 0.000)
Sr (0.000, 0.500, 0.500)
Si (0.500, 0.000, 0.500)

Calculated values
The calculation puts the total magnetization at 0.00 μB per cell. The symmetry is P4/mmm, No. 123. The formation energy from raw total energies comes out at 0.0392 eV per atom. Its electronic total energy is -3.61 eV/atom.

=====

SrAl2Si | PBE | relaxed

Cell lengths 5.512, 5.512, 3.273 Å; angles 90.00, 90.00, 114.75 degrees
Sites, in units of the cell vectors:
Al (0.000, 0.000, 0.000)
Al (0.500, 0.500, 0.000)
Si (0.500, 0.000, 0.500)
Sr (0.000, 0.500, 0.500)

Calculated values
The calculation puts the total magnetization at 0.00 μB per cell. The symmetry is Cmmm, No. 65. The formation energy from raw total energies comes out at 0.2678 eV per atom. Its electronic total energy is -3.38 eV/atom.

=====

SrAl2Si | PBE | relaxed

Cell lengths 3.485, 3.634, 6.957 Å; angles 90.00, 90.00, 90.00 degrees
Sites, in units of the cell vectors:
Al (0.500, 0.500, 0.267)
Al (0.000, 0.000, 0.067)
Sr (0.500, 0.500, 0.740)
Si (0.000, 0.000, 0.426)

Calculated values
The calculation puts the total magnetization at 0.00 μB per cell. The symmetry is Pmm2, No. 25. The formation energy from raw total energies comes out at -0.0936 eV per atom. Its electronic total energy is -3.74 eV/atom.

=====

SrAlSi2 | PBE | relaxed

Cell lengths 6.107, 6.107, 6.107 Å; angles 41.53, 41.53, 41.53 degrees
Sites, in units of the cell vectors:
Sr (0.502, 0.502, 0.502)
Si (0.996, 0.996, 0.996)
Si (0.297, 0.297, 0.297)
Al (0.705, 0.705, 0.705)

Calculated values
The calculation puts the total magnetization at 0.00 μB per cell. The symmetry is R3m, No. 160. The formation energy from raw total energies comes out at -0.0767 eV per atom. Its electronic total energy is -4.14 eV/atom.

=====

SrAlSi2 | PBE | relaxed

Cell lengths 4.373, 4.889, 4.889 Å; angles 104.17, 90.00, 90.00 degrees
Sites, in units of the cell vectors:
Si (0.500, 0.113, 0.506)
Si (0.500, 0.494, 0.887)
Al (0.500, 0.596, 0.404)
Sr (0.000, 0.012, 0.988)

Calculated values
The calculation puts the total magnetization at 0.00 μB per cell. The symmetry is Amm2, No. 38. The formation energy from raw total energies comes out at -0.0595 eV per atom. Its electronic total energy is -4.13 eV/atom.

=====

SrAlSi | PBE | relaxed

Cell lengths 5.015, 5.015, 5.015 Å; angles 60.00, 60.00, 60.00 degrees
Sites, in units of the cell vectors:
Sr (0.750, 0.750, 0.750)
Si (0.500, 0.500, 0.500)
Al (0.000, 0.000, 0.000)

Calculated values
The calculation puts the total magnetization at 0.00 μB per cell. The symmetry is F-43m, No. 216. The formation energy from raw total energies comes out at 0.5704 eV per atom. Its electronic total energy is -3.05 eV/atom.

=====

SrAl2Si | PBE | relaxed

Cell lengths 6.083, 6.083, 6.083 Å; angles 149.56, 127.00, 62.35 degrees
Sites, in units of the cell vectors:
Al (0.043, 0.043, 0.000)
Al (0.457, 0.457, 0.000)
Sr (0.750, 0.250, 0.500)
Si (0.250, 0.750, 0.500)

Calculated values
The calculation puts the total magnetization at 0.00 μB per cell. The symmetry is Immm, No. 71. The formation energy from raw total energies comes out at 0.0631 eV per atom. Its electronic total energy is -3.58 eV/atom.

=====

SrAlSi2 | PBE | relaxed

Cell lengths 4.569, 4.569, 5.931 Å; angles 75.02, 75.02, 48.74 degrees
Sites, in units of the cell vectors:
Sr (0.750, 0.750, 0.750)
Si (0.517, 0.517, 0.388)
Si (0.983, 0.983, 0.112)
Al (0.250, 0.250, 0.250)

Calculated values
The calculation puts the total magnetization at 0.00 μB per cell. The symmetry is C2/m, No. 12. The formation energy from raw total energies comes out at -0.2051 eV per atom. Its electronic total energy is -4.27 eV/atom.

=====

SrAlSi2Tc | PBE | relaxed

Cell lengths 4.709, 4.709, 4.789 Å; angles 90.00, 90.00, 90.00 degrees
Sites, in units of the cell vectors:
Si (0.000, 0.500, 0.000)
Si (0.500, 0.000, 0.000)
Tc (0.000, 0.000, 0.000)
Al (0.000, 0.000, 0.500)
Sr (0.500, 0.500, 0.500)

Calculated values
The calculation puts the total magnetization at 0.00 μB per cell. The symmetry is P4/mmm, No. 123. The formation energy from raw total energies comes out at -0.1384 eV per atom. Its electronic total energy is -5.47 eV/atom.

=====

SrAlSiTe2 | PBE | relaxed

Cell lengths 5.298, 5.926, 5.298 Å; angles 90.00, 90.00, 90.00 degrees
Sites, in units of the cell vectors:
Al (0.000, 0.000, 0.000)
Te (0.500, 0.000, 0.000)
Te (0.000, 0.000, 0.500)
Si (0.500, 0.500, 0.500)
Sr (0.000, 0.500, 0.000)

Calculated values
The calculation puts the total magnetization at 0.00 μB per cell. The symmetry is P4/mmm, No. 123. The formation energy from raw total energies comes out at 0.4013 eV per atom. Its electronic total energy is -3.02 eV/atom.

=====

SrAlV2Si | PBE | relaxed

Cell lengths 5.066, 5.331, 5.066 Å; angles 90.00, 90.00, 90.00 degrees
Each line ends with the local moment (μB).
Sites, in units of the cell vectors:
Al (0.500, 0.500, 0.500)  -0.03
V (0.000, 0.000, 0.500)  2.63
V (0.500, 0.000, 0.000)  2.87
Sr (0.000, 0.000, 0.000)  0.25
Si (0.000, 0.500, 0.000)  -0.14

Calculated values
The calculation puts the total magnetization at 6.36 μB per cell. The symmetry is P4/mmm, No. 123. The formation energy from raw total energies comes out at 2.2419 eV per atom. Its electronic total energy is -3.58 eV/atom.

=====

Sr2Al4Zn3Si | PBE | relaxed

Cell lengths 4.337, 4.337, 11.078 Å; angles 90.00, 90.00, 90.00 degrees
Sites, in units of the cell vectors:
Al (0.000, 0.500, 0.370)
Al (0.500, 0.500, 0.000)
Al (0.500, 0.000, 0.630)
Al (0.000, 0.000, 0.000)
Zn (0.500, 0.000, 0.862)
Zn (0.000, 0.000, 0.500)
Zn (0.000, 0.500, 0.138)
Si (0.500, 0.500, 0.500)
Sr (0.000, 0.500, 0.745)
Sr (0.500, 0.000, 0.255)

Calculated values
The calculation puts the total magnetization at 0.00 μB per cell. The symmetry is P-4m2, No. 115. The formation energy from raw total energies comes out at -0.2581 eV per atom. Its electronic total energy is -3.02 eV/atom.

=====

Sr2Al4ZnSi3 | PBE | relaxed

Cell lengths 4.515, 4.515, 10.228 Å; angles 90.00, 90.00, 90.00 degrees
Sites, in units of the cell vectors:
Sr (0.500, 0.000, 0.258)
Sr (0.000, 0.500, 0.742)
Al (0.500, 0.000, 0.626)
Al (0.000, 0.500, 0.374)
Al (0.500, 0.500, 0.000)
Al (0.000, 0.000, 0.000)
Si (0.500, 0.000, 0.876)
Si (0.000, 0.500, 0.124)
Si (0.000, 0.000, 0.500)
Zn (0.500, 0.500, 0.500)

Calculated values
The calculation puts the total magnetization at 0.00 μB per cell. The symmetry is P-4m2, No. 115. The formation energy from raw total energies comes out at -0.2361 eV per atom. Its electronic total energy is -3.82 eV/atom.

=====

Sr2AlZn3Si4 | PBE | relaxed

Cell lengths 4.341, 4.341, 10.475 Å; angles 90.00, 90.00, 90.00 degrees
Sites, in units of the cell vectors:
Si (0.000, 0.000, 0.000)
Si (0.500, 0.500, 0.000)
Si (0.000, 0.500, 0.367)
Si (0.500, 0.000, 0.633)
Zn (0.000, 0.500, 0.129)
Zn (0.500, 0.000, 0.871)
Zn (0.000, 0.000, 0.500)
Sr (0.500, 0.000, 0.244)
Sr (0.000, 0.500, 0.756)
Al (0.500, 0.500, 0.500)

Calculated values
The calculation puts the total magnetization at 0.00 μB per cell. The symmetry is P-4m2, No. 115. The formation energy from raw total energies comes out at -0.2754 eV per atom. Its electronic total energy is -3.54 eV/atom.

=====

TaAlSi2 | PBE | relaxed

Cell lengths 3.742, 4.451, 3.655 Å; angles 90.00, 90.00, 90.00 degrees
Sites, in units of the cell vectors:
Si (0.000, 0.000, 0.000)
Si (0.500, 0.500, 0.000)
Al (0.000, 0.500, 0.500)
Ta (0.500, 0.000, 0.500)

Calculated values
The calculation puts the total magnetization at 0.00 μB per cell. The symmetry is Pmmm, No. 47. The formation energy from raw total energies comes out at 0.0303 eV per atom. Its electronic total energy is -6.58 eV/atom.

=====

TaAl2Si | PBE | relaxed

Cell lengths 4.478, 2.784, 5.110 Å; angles 90.43, 90.00, 90.00 degrees
Sites, in units of the cell vectors:
Si (0.000, 0.256, 0.510)
Al (0.500, 0.237, 0.251)
Al (0.000, 0.260, 0.993)
Ta (0.500, 0.748, 0.746)

Calculated values
The calculation puts the total magnetization at 0.00 μB per cell. The symmetry is Pm, No. 6. The formation energy from raw total energies comes out at -0.1280 eV per atom. Its electronic total energy is -6.32 eV/atom.

=====

TaAlSi | PBE | relaxed

Cell lengths 8.884, 4.992, 8.433 Å; angles 90.00, 90.00, 90.00 degrees
Sites, in units of the cell vectors:
Ta (0.500, 0.500, 0.873)
Ta (0.000, 0.500, 0.373)
Ta (0.250, 0.750, 0.623)
Ta (0.250, 0.250, 0.123)
Ta (0.750, 0.250, 0.623)
Ta (0.000, 0.000, 0.873)
Ta (0.500, 0.000, 0.373)
Ta (0.750, 0.750, 0.123)
Si (0.750, 0.750, 0.791)
Si (0.000, 0.000, 0.541)
Si (0.000, 0.500, 0.041)
Si (0.750, 0.250, 0.291)
Si (0.250, 0.250, 0.791)
Si (0.250, 0.750, 0.291)
Si (0.500, 0.500, 0.541)
Si (0.500, 0.000, 0.041)
Al (0.000, 0.500, 0.714)
Al (0.250, 0.250, 0.464)
Al (0.500, 0.500, 0.214)
Al (0.250, 0.750, 0.964)
Al (0.500, 0.000, 0.714)
Al (0.750, 0.750, 0.464)
Al (0.750, 0.250, 0.964)
Al (0.000, 0.000, 0.214)

Calculated values
The calculation puts the total magnetization at 0.00 μB per cell. The symmetry is Fdd2, No. 43. The formation energy from raw total energies comes out at -0.3725 eV per atom. Its electronic total energy is -7.38 eV/atom.

=====

TaAl2Si | PBE | relaxed

Cell lengths 4.986, 4.986, 4.986 Å; angles 134.85, 134.85, 65.76 degrees
Sites, in units of the cell vectors:
Al (0.250, 0.750, 0.500)
Al (0.000, 0.000, 0.000)
Ta (0.750, 0.250, 0.500)
Si (0.500, 0.500, 0.000)

Calculated values
The calculation puts the total magnetization at 0.00 μB per cell. The symmetry is I-4m2, No. 119. The formation energy from raw total energies comes out at -0.1690 eV per atom. Its electronic total energy is -6.36 eV/atom.

=====

TaAl2Si | PBE | relaxed

Cell lengths 5.071, 5.071, 5.072 Å; angles 136.30, 136.30, 63.50 degrees
Sites, in units of the cell vectors:
Si (0.750, 0.250, 0.500)
Al (0.000, 0.000, 0.000)
Al (0.500, 0.500, 0.000)
Ta (0.250, 0.750, 0.500)

Calculated values
The calculation puts the total magnetization at 0.00 μB per cell. The symmetry is I4/mmm, No. 139. The formation energy from raw total energies comes out at -0.2205 eV per atom. Its electronic total energy is -6.41 eV/atom.

=====

TaAlSi | PBE | relaxed

Cell lengths 4.326, 4.326, 4.326 Å; angles 60.00, 60.00, 60.00 degrees
Sites, in units of the cell vectors:
Al (0.000, 0.000, 0.000)
Ta (0.750, 0.750, 0.750)
Si (0.500, 0.500, 0.500)

Calculated values
The calculation puts the total magnetization at 0.00 μB per cell. The symmetry is F-43m, No. 216. The formation energy from raw total energies comes out at 0.4526 eV per atom. Its electronic total energy is -6.55 eV/atom.

=====

TaAl2Si | PBE | relaxed

Cell lengths 8.659, 8.659, 8.659 Å; angles 19.95, 19.95, 19.95 degrees
Sites, in units of the cell vectors:
Al (0.505, 0.505, 0.505)
Al (0.995, 0.995, 0.995)
Ta (0.750, 0.750, 0.750)
Si (0.250, 0.250, 0.250)

Calculated values
The calculation puts the total magnetization at 0.00 μB per cell. The symmetry is R-3m, No. 166. The formation energy from raw total energies comes out at 0.0390 eV per atom. Its electronic total energy is -6.15 eV/atom.

=====

TaAlSi2 | PBE | relaxed

Cell lengths 4.830, 4.830, 2.871 Å; angles 83.66, 83.66, 110.50 degrees
Sites, in units of the cell vectors:
Si (0.500, 0.500, 0.000)
Si (0.000, 0.000, 0.000)
Al (0.000, 0.500, 0.500)
Ta (0.500, 0.000, 0.500)

Calculated values
The calculation puts the total magnetization at 0.00 μB per cell. The symmetry is C2/m, No. 12. The formation energy from raw total energies comes out at 0.0380 eV per atom. Its electronic total energy is -6.57 eV/atom.

=====

TaAlSi2 | PBE | relaxed

Cell lengths 5.923, 5.923, 6.918 Å; angles 64.65, 64.65, 90.00 degrees
Sites, in units of the cell vectors:
Ta (0.750, 0.250, 0.500)
Ta (0.000, 0.000, 0.000)
Si (0.127, 0.625, 0.250)
Si (0.623, 0.125, 0.250)
Si (0.375, 0.377, 0.750)
Si (0.875, 0.873, 0.750)
Al (0.250, 0.750, 0.500)
Al (0.500, 0.500, 0.000)

Calculated values
The calculation puts the total magnetization at 0.00 μB per cell. The symmetry is I-42d, No. 122. The formation energy from raw total energies comes out at 0.6947 eV per atom. Its electronic total energy is -5.92 eV/atom.

=====

TaAlSi2 | PBE | relaxed

Cell lengths 3.447, 3.449, 6.220 Å; angles 56.29, 90.00, 90.00 degrees
Sites, in units of the cell vectors:
Si (0.000, 0.006, 0.994)
Si (0.500, 0.243, 0.256)
Ta (0.000, 0.512, 0.488)
Al (0.500, 0.739, 0.762)

Calculated values
The calculation puts the total magnetization at 0.00 μB per cell. The symmetry is P4mm, No. 99. The formation energy from raw total energies comes out at -0.1506 eV per atom. Its electronic total energy is -6.76 eV/atom.

=====

TaAlSi2 | PBE | relaxed

Cell lengths 4.833, 4.833, 4.820 Å; angles 85.40, 85.40, 33.80 degrees
Sites, in units of the cell vectors:
Si (0.491, 0.491, 0.517)
Si (0.009, 0.009, 0.983)
Al (0.250, 0.250, 0.250)
Ta (0.750, 0.750, 0.750)

Calculated values
The calculation puts the total magnetization at 0.00 μB per cell. The symmetry is C2/m, No. 12. The formation energy from raw total energies comes out at -0.0104 eV per atom. Its electronic total energy is -6.62 eV/atom.